# 1
DFT (PBE) results for a relaxed Rb2Hg2Au3 crystal.

**E above lowest polymorph**: 0.0000 eV/atom

```
data_Rb2Hg2Au3
_chemical_formula_sum 'Rb4 Hg4 Au6'
_cell_length_a 12.7222
_cell_length_b 4.8387
_cell_length_c 9.2007
_cell_angle_alpha 90.00
_cell_angle_beta 129.31
_cell_angle_gamma 90.00
_space_group_name_H-M_alt 'C 1 2/m 1'
_space_group_IT_number 12
loop_
_space_group_symop_operation_xyz
'x,y,z'
'-x,-y,-z'
'-x,y,-z'
'x,-y,z'
'x+1/2,y+1/2,z'
'-x+1/2,-y+1/2,-z'
'-x+1/2,y+1/2,-z'
'x+1/2,-y+1/2,z'
loop_
_atom_site_label
_atom_site_type_symbol
_atom_site_fract_x
_atom_site_fract_y
_atom_site_fract_z
_atom_site_occupancy
Rb1 Rb 0.1801 0.0000 0.2617 1
Hg1 Hg 0.0217 0.5000 0.7146 1
Au1 Au 0.0000 0.0000 0.5000 1
Au2 Au 0.1999 0.0000 0.8934 1
```

=====

# 2
DFT (PBE) results for a relaxed Rb4Hg5Au crystal.

```
data_Rb4Hg5Au
_chemical_formula_sum 'Rb8 Hg10 Au2'
_cell_length_a 10.5747
_cell_length_b 10.5747
_cell_length_c 7.3293
_cell_angle_alpha 90.00
_cell_angle_beta 90.00
_cell_angle_gamma 90.00
_space_group_name_H-M_alt 'I 4'
_space_group_IT_number 79
loop_
_space_group_symop_operation_xyz
'x,y,z'
'-y,x,z'
'-x,-y,z'
'y,-x,z'
'x+1/2,y+1/2,z+1/2'
'-y+1/2,x+1/2,z+1/2'
'-x+1/2,-y+1/2,z+1/2'
'y+1/2,-x+1/2,z+1/2'
loop_
_atom_site_label
_atom_site_type_symbol
_atom_site_fract_x
_atom_site_fract_y
_atom_site_fract_z
_atom_site_occupancy
Rb1 Rb 0.0684 0.2997 0.0000 1
Hg1 Hg 0.0000 0.0000 0.7985 1
Hg2 Hg 0.0737 0.2039 0.4854 1
Au1 Au 0.0000 0.0000 0.2009 1
```

=====

# 3
DFT (PBE) results for a relaxed Rb2HgAu crystal.

```
data_Rb2HgAu
_chemical_formula_sum 'Rb8 Hg4 Au4'
_cell_length_a 9.6471
_cell_length_b 9.6471
_cell_length_c 7.6473
_cell_angle_alpha 90.00
_cell_angle_beta 90.00
_cell_angle_gamma 90.00
_space_group_name_H-M_alt 'I -4 2 d'
_space_group_IT_number 122
_space_group_name_Hall 'I -4 2bw'
loop_
_atom_site_label
_atom_site_type_symbol
_atom_site_fract_x
_atom_site_fract_y
_atom_site_fract_z
_atom_site_occupancy
Rb1 Rb 0.2223 0.2500 0.1250 1
Hg1 Hg 0.0000 0.0000 0.5000 1
Au1 Au 0.0000 0.0000 0.0000 1
```

=====

# 4
DFT (PBE) results for a relaxed RbHg4Au4 crystal.

**E above lowest polymorph**: 0.0000 eV/atom

```
data_RbHg4Au4
_chemical_formula_sum 'Rb2 Hg8 Au8'
_cell_length_a 6.5773
_cell_length_b 6.5773
_cell_length_c 10.2545
_cell_angle_alpha 90.00
_cell_angle_beta 90.00
_cell_angle_gamma 90.00
_space_group_name_H-M_alt 'P 42/n m c'
_space_group_IT_number 137
loop_
_space_group_symop_operation_xyz
'x,y,z'
'-x,-y,-z'
'-y+1/2,x,z+1/2'
'y+1/2,-x,-z+1/2'
'-x+1/2,-y+1/2,z'
'x+1/2,y+1/2,-z'
'y,-x+1/2,z+1/2'
'-y,x+1/2,-z+1/2'
'x+1/2,-y,-z'
'-x+1/2,y,z'
'-y,-x,-z+1/2'
'y,x,z+1/2'
'-x,y+1/2,-z'
'x,-y+1/2,z'
'y+1/2,x+1/2,-z+1/2'
'-y+1/2,-x+1/2,z+1/2'
loop_
_atom_site_label
_atom_site_type_symbol
_atom_site_fract_x
_atom_site_fract_y
_atom_site_fract_z
_atom_site_occupancy
Rb1 Rb 0.2500 0.7500 0.2500 1
Hg1 Hg 0.0264 0.2500 0.0459 1
Au1 Au 0.0358 0.2500 0.3284 1
```

=====

# 5
DFT (PBE) results for a relaxed Rb12HgAu7 crystal.

```
data_Rb12HgAu7
_chemical_formula_sum 'Rb36 Hg3 Au21'
_cell_length_a 15.3474
_cell_length_b 15.3474
_cell_length_c 14.4398
_cell_angle_alpha 90.00
_cell_angle_beta 90.00
_cell_angle_gamma 120.00
_space_group_name_H-M_alt 'R -3'
_space_group_IT_number 148
_space_group_name_Hall '-R 3'
loop_
_atom_site_label
_atom_site_type_symbol
_atom_site_fract_x
_atom_site_fract_y
_atom_site_fract_z
_atom_site_occupancy
Rb1 Rb 0.0319 0.8225 0.1455 1
Rb2 Rb 0.0514 0.8314 0.6230 1
Hg1 Hg 0.0000 0.0000 0.5000 1
Au1 Au 0.0000 0.0000 0.0000 1
Au2 Au 0.0545 0.5947 0.0536 1
```

=====

# 6
DFT (PBE) results for a relaxed Rb2Hg2Au crystal.

**E above lowest polymorph**: 0.0359 eV/atom

```
data_Rb2Hg2Au
_chemical_formula_sum 'Rb4 Hg4 Au2'
_cell_length_a 4.3930
_cell_length_b 4.3930
_cell_length_c 20.4476
_cell_angle_alpha 90.00
_cell_angle_beta 90.00
_cell_angle_gamma 90.00
_space_group_name_H-M_alt 'I 4/m m m'
_space_group_IT_number 139
_space_group_name_Hall '-I 4 2'
loop_
_atom_site_label
_atom_site_type_symbol
_atom_site_fract_x
_atom_site_fract_y
_atom_site_fract_z
_atom_site_occupancy
Rb1 Rb 0.0000 0.0000 0.0977 1
Hg1 Hg 0.0000 0.5000 0.2500 1
Au1 Au 0.0000 0.0000 0.5000 1
```

=====

The calculation returns the following E_form values, one per record and in order: -0.23; -0.22; -0.13; -0.07; -0.19; -0.22 eV/atom.